# 1
Material: NbTcO
Method: DFT, GGA-PBE
State: relaxed

For the final energy, the calculation gives -9.29 eV/atom. As for the space-group type: C2/m, No. 12. The calculation puts the uncorrected formation energy at -0.82 eV per atom. The spin magnetization is 0.00 μB/cell.

Cell: 4.2809 4.2809 7.9980 Å, 62.62 62.62 39.16°
Last column: nearest neighbours and their distance in Å.
Element x y z (fractional)
O (0.1760, 0.1760, 0.7765)  1 Tc 2.08, 3 Nb 2.19-2.26
O (0.5772, 0.5772, 0.5309)  1 Tc 2.08, 3 Nb 2.19-2.26
Nb (0.4344, 0.4344, 0.8446)  4 O 2.19-2.40
Nb (0.3188, 0.3188, 0.4628)  4 O 2.19-2.40
Tc (0.7019, 0.7019, 0.2331)  1 O 2.08
Tc (0.0513, 0.0513, 0.0743)  1 O 2.08

# 2
Material: PmYIr
Method: DFT, GGA-PBE
State: relaxed

The energy relative to the elements comes out at -0.603 eV per atom. For the final energy, the calculation gives -7.29 eV/atom. As for the space-group type: F-43m, No. 216. The spin magnetization is 0.00 μB/cell.

Cell: 4.8731 4.8731 4.8731 Å, 60.00 60.00 60.00°
Last column: nearest neighbours and their distance in Å.
Element x y z (fractional)
Pm (0.5000, 0.5000, 0.5000)  4 Ir 2.98
Ir (0.2500, 0.2500, 0.2500)  4 Pm 2.98, 4 Y 2.98
Y (0.0000, 0.0000, 0.0000)  4 Ir 2.98

# 3
Material: PmNdEr2Tm5
Method: DFT, GGA-PBE
State: relaxed

The energy relative to the elements comes out at 0.287 eV per atom. For the final energy, the calculation gives -4.27 eV/atom. As for the space-group type: I4/mcm, No. 140. The spin magnetization is 0.01 μB/cell.

Cell: 8.8258 8.8258 9.6406 Å, 117.24 117.24 90.00°
Last column: nearest neighbours and their distance in Å.
Element x y z (fractional)
Tm (0.9285, 0.4285, 0.2629)  1 Er 2.99, 1 Nd 3.07
Tm (0.5715, 0.6656, 0.7371)  1 Er 2.99, 1 Nd 3.07
Tm (0.1656, 0.0715, 0.7371)  1 Er 2.99, 1 Nd 3.07
Tm (0.5000, 0.5000, 0.0000)  4 Er 3.55, 2 Pm 3.67, 8 Tm 3.72
Tm (0.0000, 0.0000, 0.0000)  4 Er 3.55, 2 Pm 3.67, 8 Tm 3.72
Tm (0.6656, 0.1656, 0.7371)  1 Er 2.99, 1 Nd 3.07
Tm (0.3344, 0.8344, 0.2629)  1 Er 2.99, 1 Nd 3.07
Tm (0.4285, 0.3344, 0.2629)  1 Er 2.99, 1 Nd 3.07
Tm (0.8344, 0.9285, 0.2629)  1 Er 2.99, 1 Nd 3.07
Tm (0.0715, 0.5715, 0.7371)  1 Er 2.99, 1 Nd 3.07
Nd (0.7500, 0.2500, 0.5000)  4 Tm 3.07
Nd (0.2500, 0.7500, 0.5000)  4 Tm 3.07
Pm (0.7500, 0.7500, 0.5000)  10 Tm 3.62-3.67
Pm (0.2500, 0.2500, 0.5000)  10 Tm 3.62-3.67
Er (0.6140, 0.1140, 0.0000)  1 Er 2.85, 2 Tm 2.99
Er (0.8860, 0.6140, 0.0000)  1 Er 2.85, 2 Tm 2.99
Er (0.1140, 0.3860, 0.0000)  1 Er 2.85, 2 Tm 2.99
Er (0.3860, 0.8860, 0.0000)  1 Er 2.85, 2 Tm 2.99

# 4
Material: Tc2W2Au
Method: DFT, GGA-PBE
State: relaxed

The energy relative to the elements comes out at 0.568 eV per atom. For the final energy, the calculation gives -9.42 eV/atom. As for the space-group type: I4/mmm, No. 139. The spin magnetization is 0.00 μB/cell.

Cell: 4.1431 4.1431 6.1638 Å, 70.36 70.36 90.00°
Last column: nearest neighbours and their distance in Å.
Element x y z (fractional)
Tc (0.3826, 0.3826, 0.2349)  4 W 2.52, 1 Tc 2.55
Tc (0.6174, 0.6174, 0.7651)  4 W 2.52, 1 Tc 2.55
Au (0.0000, 0.0000, 0.0000)  8 Tc 3.19, 8 W 3.41
W (0.7500, 0.2500, 0.5000)  4 Tc 2.52
W (0.2500, 0.7500, 0.5000)  4 Tc 2.52

# 5
Material: LaCeAs2Rh2
Method: DFT, GGA-PBE
State: relaxed

The energy relative to the elements comes out at -1.147 eV per atom. For the final energy, the calculation gives -6.96 eV/atom. As for the space-group type: P-3m1, No. 164. The spin magnetization is 0.00 μB/cell.

Cell: 4.2895 4.2895 8.0029 Å, 90.00 90.00 120.00°
Last column: nearest neighbours and their distance in Å.
Element x y z (fractional)
La (0.0000, 0.0000, 0.0000)  6 As 3.18, 6 Rh 3.31
Rh (0.6667, 0.3333, 0.2751)  3 As 2.49
Rh (0.3333, 0.6667, 0.7249)  3 As 2.49
As (0.6667, 0.3333, 0.7516)  3 Rh 2.49
As (0.3333, 0.6667, 0.2484)  3 Rh 2.49
Ce (0.0000, 0.0000, 0.5000)  6 Rh 3.06, 6 As 3.19

# 6
Material: Na2ZnH4O4
Method: DFT, GGA-PBE
State: relaxed

For the final energy, the calculation gives -4.68 eV/atom. As for the space-group type: P2_1/c, No. 14. The spin magnetization is 0.00 μB/cell.

Cell: 6.4227 7.8636 11.0567 Å, 52.16 90.00 90.00°
Last column: nearest neighbours and their distance in Å.
Element x y z (fractional)
Na (0.2482, 0.0226, 0.9903)  4 O 2.35-2.52, 1 H 2.44
Na (0.7518, 0.9774, 0.0097)  4 O 2.35-2.52, 1 H 2.44
Na (0.2518, 0.0226, 0.4903)  4 O 2.35-2.52, 1 H 2.44
Na (0.9298, 0.4872, 0.7882)  5 O 2.31-2.50, 1 H 2.33
Na (0.5702, 0.4872, 0.2882)  5 O 2.31-2.50, 1 H 2.33
Na (0.4298, 0.5128, 0.7118)  5 O 2.31-2.50, 1 H 2.33
Na (0.0702, 0.5128, 0.2118)  5 O 2.31-2.50, 1 H 2.33
Na (0.7482, 0.9774, 0.5097)  4 O 2.35-2.52, 1 H 2.44
O (0.1661, 0.6976, 0.5346)  1 H 0.99
O (0.2349, 0.3803, 0.9408)  1 H 0.99
O (0.7349, 0.6197, 0.5592)  1 H 0.99
O (0.9740, 0.8115, 0.7620)  1 H 0.98
O (0.0278, 0.8319, 0.2079)  1 H 0.98
O (0.9722, 0.1681, 0.7921)  1 H 0.98
O (0.8339, 0.3024, 0.4654)  1 H 0.99
O (0.0260, 0.1885, 0.2380)  1 H 0.98
O (0.3339, 0.6976, 0.0346)  1 H 0.99
O (0.5260, 0.8115, 0.2620)  1 H 0.98
O (0.2651, 0.3803, 0.4408)  1 H 0.99
O (0.7651, 0.6197, 0.0592)  1 H 0.99
O (0.5278, 0.1681, 0.2921)  1 H 0.98
O (0.4722, 0.8319, 0.7079)  1 H 0.98
O (0.4740, 0.1885, 0.7380)  1 H 0.98
O (0.6661, 0.3024, 0.9654)  1 H 0.99
H (0.5141, 0.3207, 0.9694)  1 O 0.99
H (0.3983, 0.2139, 0.2334)  1 O 0.98
H (0.4605, 0.0576, 0.7453)  1 O 0.98
H (0.9859, 0.3207, 0.4694)  1 O 0.99
H (0.6017, 0.7861, 0.7666)  1 O 0.98
H (0.0141, 0.6793, 0.5306)  1 O 0.99
H (0.3264, 0.3088, 0.5434)  1 O 0.99
H (0.5395, 0.9424, 0.2547)  1 O 0.98
H (0.1017, 0.2139, 0.7334)  1 O 0.98
H (0.4859, 0.6793, 0.0306)  1 O 0.99
H (0.0395, 0.0576, 0.2453)  1 O 0.98
H (0.8983, 0.7861, 0.2666)  1 O 0.98
H (0.6736, 0.6912, 0.4566)  1 O 0.99
H (0.1736, 0.3088, 0.0434)  1 O 0.99
H (0.9605, 0.9424, 0.7547)  1 O 0.98
H (0.8264, 0.6912, 0.9566)  1 O 0.99
Zn (0.7460, 0.3105, 0.6318)  4 O 1.96-2.04
Zn (0.2540, 0.6895, 0.3682)  4 O 1.96-2.04
Zn (0.7540, 0.3105, 0.1318)  4 O 1.96-2.04
Zn (0.2460, 0.6895, 0.8682)  4 O 1.96-2.04

Question: What is the final energy in the sixth record?
Answer: -4.68 eV/atom